A plane-wave DFT calculation with PBE-GGA was carried out for a relaxed structure of TlFeTeW.

Cell: 3.9096 3.9036 7.5803 Å, 105.73 89.98 120.05°
With the nearest neighbours (Å) after each atom.
Sites, in units of the cell vectors:
Tl1 0.3611 0.7699 0.7311  1 Fe 2.87, 3 W 3.15-3.17
Fe1 0.2249 0.4968 0.3325  3 W 2.35, 3 Te 2.59
Te1 0.8290 0.7047 0.1549  3 Fe 2.59
W1 0.5904 0.2279 0.4242  3 Fe 2.35

Calculated values
- Spin magnetization: 0.00 μB/f.u.
- Total DFT energy (no corrections): -25.34 eV for the cell shown
- Formation energy without anion corrections: 0.3951 eV/atom
- Crystal system: monoclinic
- DOS(E_F): 1.66 states/eV per cell